(1)
DFT (GGA-PBE) results for a geometry-optimized AcGdCuIr structure.

a b c (Å): 7.2413 7.2413 7.2413
angles (deg): 90.00 90.00 90.00
Space group F-43m (No. 216)
Asymmetric unit:
Ac1 0.0000 0.0000 0.0000 [4 per cell]
Gd1 0.0000 0.0000 0.5000 [4 per cell]
Cu1 0.2500 0.2500 0.2500 [4 per cell]
Ir1 0.2500 0.2500 0.7500 [4 per cell]

Computed properties:
N(E_F): 4.0 states/eV/f.u.
ΔE_f: -0.37 eV/atom
total energy: -8.158 eV per atom


(2)
DFT (GGA-PBE) results for a geometry-optimized Th2UPdN5 structure.

a b c (Å): 3.4837 14.0525 10.6252
angles (deg): 90.00 90.00 90.00
Space group Cmc2_1 (No. 36)
Asymmetric unit:
Th1 0.0000 0.1043 0.0000 [4 per cell]
Th2 0.0000 0.1277 0.6250 [4 per cell]
U1 0.0000 0.1991 0.3262 [4 per cell]
Pd1 0.0000 0.4774 0.7865 [4 per cell]
N1 0.0000 0.0539 0.3982 [4 per cell]
N2 0.0000 0.2823 0.9628 [4 per cell]
N3 0.0000 0.2971 0.6908 [4 per cell]
N4 0.0000 0.3508 0.3185 [4 per cell]
N5 0.0000 0.4955 0.0903 [4 per cell]

Computed properties:
N(E_F): 4.8 states/eV/f.u.
total energy: -9.146 eV per atom
formation energy without anion corrections: -1.04 eV per atom


(3)
DFT (GGA-PBE) results for a geometry-optimized Cd2AsPH structure.

a b c (Å): 5.3082 5.3082 4.7669
angles (deg): 90.00 90.00 90.00
Space group P4/mmm (No. 123)
Asymmetric unit:
Cd1 0.0000 0.5000 0.0000 [2 per cell]
As1 0.0000 0.0000 0.5000 [1 per cell]
P1 0.0000 0.0000 0.0000 [1 per cell]
H1 0.5000 0.5000 0.5000 [1 per cell]

Computed properties:
N(E_F): 2.6 states/eV/f.u.
total energy: -2.213 eV per atom